# NiWBr3

A relaxed NiWBr3 crystal (GGA-PBE, Alexandria).

## Properties
* DOS(E_F): 18.896 states/eV per cell
* offset from the most stable computed form: 0.0000 eV/atom
* raw formation energy: 985 meV per atom

extended XYZ file:
```
5
Lattice="5.041 0.000 0.000 0.000 5.041 0.000 0.000 0.000 5.041" Properties=species:S:1:pos:R:3 pbc="T T T"
Br 0.000 0.000 2.521
Br 2.521 0.000 0.000
Br 0.000 2.521 0.000
W 0.000 0.000 0.000
Ni 2.521 2.521 2.521
```


# NiWBr2

A relaxed NiWBr2 crystal (GGA-PBE, Alexandria).

## Properties
* DOS(E_F): 4.223 states/eV per cell
* offset from the most stable computed form: 0.7775 eV/atom
* raw formation energy: 920 meV per atom

extended XYZ file:
```
4
Lattice="-2.107 -2.338 -1.012 2.305 1.452 -1.874 5.523 -5.928 2.197" Properties=species:S:1:pos:R:3 pbc="T T T"
Br 2.713 -2.912 1.079
Br 0.049 -0.052 0.019
W 4.241 -4.889 0.205
Ni 1.479 -1.925 -0.894
```